Material: Na4CaGe2
Method: DFT, GGA-PBE
State: optimized geometry

Unit cell a=4.492 b=4.497 c=9.941 alpha=103.07 beta=90.00 gamma=90.00
Element x y z (fractional)
1 Na 0.500 0.832 0.665
2 Na 0.000 0.668 0.337
3 Na 0.500 0.168 0.335
4 Na 0.000 0.332 0.663
5 Ca 0.000 0.000 0.000
6 Ge 0.500 0.562 0.123
7 Ge 0.500 0.438 0.877

Output
ΔE_f in eV per atom: -0.150
DOS at the Fermi energy in states/eV/atom: 0.28

***

Material: AlCd2GaO5
Method: DFT, GGA-PBE
State: optimized geometry

Unit cell a=3.103 b=6.295 c=11.385 alpha=90.00 beta=90.00 gamma=104.27
Element x y z (fractional)
1 Al 0.764 0.527 0.519
2 Al 0.236 0.473 0.019
3 Cd 0.838 0.677 0.776
4 Cd 0.082 0.164 0.672
5 Cd 0.162 0.323 0.276
6 Cd 0.918 0.836 0.172
7 Ga 0.532 0.065 0.950
8 Ga 0.468 0.935 0.450
9 O 0.388 0.776 0.022
10 O 0.716 0.432 0.918
11 O 0.490 0.980 0.792
12 O 0.264 0.528 0.645
13 O 0.921 0.842 0.531
14 O 0.612 0.224 0.522
15 O 0.284 0.568 0.418
16 O 0.510 0.020 0.292
17 O 0.736 0.472 0.145
18 O 0.079 0.158 0.031

Output
Raw formation energy in meV per atom: -1732

***

Material: Rb3ZrSc3Te8
Method: DFT, GGA-PBE
State: optimized geometry

Unit cell a=8.481 b=8.479 c=9.995 alpha=115.11 beta=90.00 gamma=120.01
Element x y z (fractional)
1 Rb 0.000 0.000 0.000
2 Rb 0.000 0.500 0.000
3 Rb 0.500 0.500 0.000
4 Zr 0.000 0.000 0.500
5 Sc 0.500 0.000 0.500
6 Sc 0.500 0.500 0.500
7 Sc 0.000 0.500 0.500
8 Te 0.270 0.540 0.311
9 Te 0.730 0.460 0.689
10 Te 0.770 0.539 0.310
11 Te 0.230 0.461 0.690
12 Te 0.770 0.040 0.310
13 Te 0.230 0.960 0.690
14 Te 0.270 0.040 0.310
15 Te 0.730 0.960 0.690

Output
Raw formation energy in meV per atom: -1173

***

Asked for M_tot across the records above, the calculation gives 0.0 0.0 0.0 μB per formula unit in order.